1.
ZnHg2Se | GGA-PBE | optimized geometry

Unit cell a=11.399 b=11.399 c=11.399 alpha=15.30 beta=15.30 gamma=15.30
Element x y z (fractional)
Hg1 0.492 0.492 0.492
Hg2 0.008 0.008 0.008
Se1 0.250 0.250 0.250
Zn1 0.750 0.750 0.750

Computed properties:
energy	-1.088	eV per atom
distance to the lowest polymorph of the same formula	465.2	meV per atom
SG	R-3m
formation energy (no corrections)	0.253	eV per atom
V	89.8	Å³/f.u.

2.
ZnHgSe2 | GGA-PBE | optimized geometry

Unit cell a=3.018 b=3.018 c=9.885 alpha=90.00 beta=90.00 gamma=90.00
Element x y z (fractional)
Se1 0.000 0.000 0.970
Se2 0.500 0.500 0.322
Hg1 0.500 0.500 0.712
Zn1 0.000 0.000 0.496

Computed properties:
energy	-1.898	eV per atom
SG	P4mm
formation energy (no corrections)	0.238	eV per atom
V	90.0	Å³/f.u.

3.
Zn2HgSe2 | GGA-PBE | optimized geometry

Unit cell a=4.362 b=4.362 c=6.575 alpha=70.63 beta=70.63 gamma=90.00
Element x y z (fractional)
Zn1 0.393 0.393 0.214
Zn2 0.607 0.607 0.786
Se1 0.750 0.250 0.500
Hg1 0.000 0.000 0.000
Se2 0.250 0.750 0.500

Computed properties:
energy	-1.950	eV per atom
distance to the lowest polymorph of the same formula	435.9	meV per atom
SG	I4/mmm
formation energy (no corrections)	0.014	eV per atom
V	110.5	Å³/f.u.

4.
Zn2HgSe2 | GGA-PBE | optimized geometry

Unit cell a=4.100 b=4.100 c=9.065 alpha=76.93 beta=76.93 gamma=90.00
Element x y z (fractional)
Zn1 0.250 0.750 0.500
Hg1 0.000 0.000 0.000
Se1 0.337 0.337 0.326
Se2 0.663 0.663 0.674
Zn2 0.750 0.250 0.500

Computed properties:
energy	-2.386	eV per atom
distance to the lowest polymorph of the same formula	0.0	meV per atom
SG	I4/mmm
formation energy (no corrections)	-0.422	eV per atom
V	144.4	Å³/f.u.

5.
Zn2HgSe | GGA-PBE | optimized geometry

Unit cell a=6.630 b=6.630 c=6.484 alpha=59.25 beta=59.25 gamma=90.00
Element x y z (fractional)
Zn1 0.375 0.401 0.750
Se1 0.250 0.750 0.500
Hg1 0.750 0.250 0.500
Hg2 0.000 0.000 0.000
Zn2 0.599 0.125 0.250
Zn3 0.151 0.625 0.250
Zn4 0.875 0.849 0.750
Se2 0.500 0.500 0.000

Computed properties:
energy	-1.683	eV per atom
distance to the lowest polymorph of the same formula	17.4	meV per atom
SG	I-42d
formation energy (no corrections)	-0.099	eV per atom
V	98.4	Å³/f.u.

6.
Zn2HgSe | GGA-PBE | optimized geometry

Unit cell a=4.883 b=4.883 c=4.883 alpha=60.00 beta=60.00 gamma=60.00
Element x y z (fractional)
Zn1 0.250 0.250 0.250
Se1 0.000 0.000 0.000
Zn2 0.750 0.750 0.750
Hg1 0.500 0.500 0.500

Computed properties:
energy	-1.440	eV per atom
distance to the lowest polymorph of the same formula	259.6	meV per atom
SG	Fm-3m
formation energy (no corrections)	0.143	eV per atom
V	82.3	Å³/f.u.

7.
ZnHgSe | GGA-PBE | optimized geometry

Unit cell a=4.028 b=4.028 c=6.452 alpha=90.00 beta=90.00 gamma=120.00
Element x y z (fractional)
Zn1 0.667 0.333 0.445
Hg1 0.000 0.000 0.021
Se1 0.333 0.667 0.534

Computed properties:
energy	-1.980	eV per atom
distance to the lowest polymorph of the same formula	0.0	meV per atom
SG	P3m1
formation energy (no corrections)	-0.294	eV per atom
V	90.7	Å³/f.u.

8.
Zn2HgSe | GGA-PBE | optimized geometry

Unit cell a=3.765 b=3.728 c=6.688 alpha=68.11 beta=90.00 gamma=90.00
Element x y z (fractional)
Se1 0.500 0.552 0.902
Zn1 0.000 0.063 0.867
Zn2 0.500 0.226 0.314
Hg1 0.000 0.659 0.417

Computed properties:
energy	-1.657	eV per atom
distance to the lowest polymorph of the same formula	42.7	meV per atom
SG	Pm
formation energy (no corrections)	-0.074	eV per atom
V	87.1	Å³/f.u.

9.
Zn2HgSe3 | GGA-PBE | optimized geometry

Unit cell a=7.240 b=7.240 c=7.210 alpha=99.43 beta=99.43 gamma=120.17
Element x y z (fractional)
Se1 0.244 0.056 0.900
Se2 0.410 0.884 0.376
Hg1 0.098 0.923 0.505
Se3 0.056 0.244 0.400
Zn1 0.758 0.267 0.509
Zn2 0.429 0.595 0.507
Se4 0.534 0.697 0.874
Se5 0.884 0.410 0.876
Hg2 0.923 0.098 0.005
Zn3 0.267 0.758 0.009
Se6 0.697 0.534 0.374
Zn4 0.595 0.429 0.007

Computed properties:
energy	-2.752	eV per atom
SG	Cc
formation energy (no corrections)	-0.535	eV per atom
V	154.3	Å³/f.u.

10.
ZnHgSe2 | GGA-PBE | optimized geometry

Unit cell a=10.623 b=10.623 c=10.623 alpha=17.95 beta=17.95 gamma=17.95
Element x y z (fractional)
Zn1 0.250 0.250 0.250
Hg1 0.750 0.750 0.750
Se1 0.973 0.973 0.973
Se2 0.527 0.527 0.527

Computed properties:
energy	-2.135	eV per atom
SG	R-3m
formation energy (no corrections)	0.002	eV per atom
V	99.4	Å³/f.u.

11.
ZnHgSe2 | GGA-PBE | optimized geometry

Unit cell a=4.218 b=4.218 c=6.705 alpha=90.00 beta=90.00 gamma=120.00
Element x y z (fractional)
Se1 0.333 0.667 0.794
Se2 0.667 0.333 0.303
Zn1 0.333 0.667 0.417
Hg1 0.000 0.000 0.941

Computed properties:
energy	-2.445	eV per atom
SG	P3m1
formation energy (no corrections)	-0.309	eV per atom
V	103.3	Å³/f.u.

12.
Zn2HgSe | GGA-PBE | optimized geometry

Unit cell a=7.383 b=7.383 c=7.383 alpha=30.60 beta=30.60 gamma=30.60
Element x y z (fractional)
Se1 0.724 0.724 0.724
Hg1 0.509 0.509 0.509
Zn1 0.260 0.260 0.260
Zn2 0.008 0.008 0.008

Computed properties:
energy	-1.658	eV per atom
distance to the lowest polymorph of the same formula	42.5	meV per atom
SG	R3m
formation energy (no corrections)	-0.074	eV per atom
V	92.4	Å³/f.u.